First-principles (PBE) data for a relaxed Mo4Os crystal, as listed in the Alexandria database.

Magnetic moment (μB per formula unit): 0.0
Space-group type: I4/m, No. 87
Total energy (hartree per atom): -0.397
E above lowest polymorph (meV per atom): 0
Energy relative to the elements (eV per atom): 0.09

abc: 7.028 7.028 3.151
angles: 90.00 90.00 90.00
Atoms (fractional coordinates):
Mo  0.108  0.304  0.000
Mo  0.196  0.608  0.500
Mo  0.304  0.892  0.000
Mo  0.392  0.196  0.500
Mo  0.608  0.804  0.500
Mo  0.696  0.108  0.000
Mo  0.804  0.392  0.500
Mo  0.892  0.696  0.000
Os  0.000  0.000  0.500
Os  0.500  0.500  0.000